Material: Mn2VCr
Method: DFT, PBE-GGA
State: relaxed

The calculation puts the energy relative to the lowest polymorph listed for this composition at 0.000 eV/f.u. For the total energy, the calculation gives -37.49 eV per cell. Its density of states at the Fermi level is 3.59 states/eV/f.u. Its formation energy from the elements is -0.41 eV per formula unit. The total moment is 0.29 μB per cell.

abc: 4.028 4.028 2.842
angles: 90.00 90.00 90.00
Element x y z (fractional)
Mn: 0.000 0.500 0.000
Mn: 0.500 0.000 0.000
V: 0.000 0.000 0.500
Cr: 0.500 0.500 0.500